VASP calculation (PBE) on PdPtI3 after structural relaxation.

The structure in POSCAR format:
```
PdPtI3
1.0
2.3616 -9.6123 0.0000
2.3616 9.6123 0.0000
0.0000 0.0000 6.8526
Pd Pt I
2 2 6
Direct
0.1570 0.8430 0.5000
0.8430 0.1570 0.0000
0.3570 0.6430 0.5140
0.6430 0.3570 0.0140
0.0962 0.9038 0.1342
0.2583 0.7417 0.7769
0.4105 0.5895 0.1594
0.5895 0.4105 0.6594
0.7417 0.2583 0.2769
0.9038 0.0962 0.6342
```

Excess energy over the best structure of this formula in the dataset (meV per atom): 0
Formation energy from raw total energies (kJ per mole of atoms): 8
Raw total energy (eV/atom): -3.09
Magnetization (μB/f.u.): 0.00

VASP calculation (PBE) on PdPtI3 after structural relaxation.

The structure in POSCAR format:
```
PdPtI3
1.0
5.4822 0.0000 0.0000
0.0000 5.4822 0.0000
0.0000 0.0000 5.4822
Pd Pt I
1 1 3
Direct
0.0000 0.0000 0.0000
0.5000 0.5000 0.5000
0.0000 0.5000 0.5000
0.5000 0.0000 0.5000
0.5000 0.5000 0.0000
```

Excess energy over the best structure of this formula in the dataset (meV per atom): 438
Formation energy from raw total energies (kJ per mole of atoms): 50
Raw total energy (eV/atom): -2.66
Magnetization (μB/f.u.): 0.77

VASP calculation (PBE) on Pd5PtI12 after structural relaxation.

The structure in POSCAR format:
```
Pd5PtI12
1.0
5.1708 -5.8187 0.0000
5.1708 5.8187 0.0000
-4.1800 0.0000 12.5863
Pd Pt I
5 1 12
Direct
0.0000 0.0000 0.0000
0.1669 0.8331 0.5000
0.3333 0.6667 0.0000
0.6667 0.3333 0.0000
0.8331 0.1669 0.5000
0.5000 0.5000 0.5000
0.0213 0.0213 0.3724
0.0300 0.6966 0.8783
0.3034 0.9700 0.1217
0.3124 0.6447 0.6273
0.3553 0.6876 0.3727
0.3633 0.3633 0.8783
0.6367 0.6367 0.1217
0.6447 0.3124 0.6273
0.6876 0.3553 0.3727
0.6966 0.0300 0.8783
0.9700 0.3034 0.1217
0.9787 0.9787 0.6276
```

Formation energy from raw total energies (kJ per mole of atoms): -18
Raw total energy (eV/atom): -3.00
Magnetization (μB/f.u.): 0.00

VASP calculation (PBE) on PdPtI after structural relaxation.

The structure in POSCAR format:
```
PdPtI
1.0
8.3211 -2.0935 0.0000
8.3211 2.0935 0.0000
-0.0056 0.0000 3.8977
Pd Pt I
2 2 2
Direct
0.0661 0.0661 0.2502
0.9339 0.9339 0.7498
0.4447 0.4447 0.2495
0.5553 0.5553 0.7505
0.3284 0.3284 0.7487
0.6716 0.6716 0.2513
```

Formation energy from raw total energies (kJ per mole of atoms): 6
Raw total energy (eV/atom): -4.20
Magnetization (μB/f.u.): 0.00

VASP calculation (PBE) on PdPtI2 after structural relaxation.

The structure in POSCAR format:
```
PdPtI2
1.0
-3.0828 3.0828 6.1771
3.0828 -3.0828 6.1771
3.0828 3.0828 -6.1771
Pd Pt I
2 2 4
Direct
0.0000 0.0000 0.0000
0.7500 0.2500 0.5000
0.2500 0.7500 0.5000
0.5000 0.5000 0.0000
0.1298 0.6250 0.0048
0.3750 0.3798 0.5048
0.6202 0.1250 0.9952
0.8750 0.8702 0.4952
```

Excess energy over the best structure of this formula in the dataset (meV per atom): 0
Formation energy from raw total energies (kJ per mole of atoms): 19
Raw total energy (eV/atom): -3.39
Magnetization (μB/f.u.): 0.00

VASP calculation (PBE) on Pd2PtI6 after structural relaxation.

The structure in POSCAR format:
```
Pd2PtI6
1.0
6.8564 -1.9412 0.0000
6.8564 1.9412 0.0000
-4.5903 0.0000 14.3391
Pd Pt I
2 1 6
Direct
0.1660 0.1660 0.3342
0.8340 0.8340 0.6658
0.5000 0.5000 0.0000
0.1015 0.1015 0.9514
0.2266 0.2266 0.7084
0.4413 0.4413 0.6232
0.5587 0.5587 0.3768
0.7734 0.7734 0.2916
0.8985 0.8985 0.0486
```

Formation energy from raw total energies (kJ per mole of atoms): -17
Raw total energy (eV/atom): -3.03
Magnetization (μB/f.u.): 0.00

VASP calculation (PBE) on PdPtI2 after structural relaxation.

The structure in POSCAR format:
```
PdPtI2
1.0
0.0000 3.5580 3.5580
3.5580 0.0000 3.5580
3.5580 3.5580 0.0000
Pd Pt I
1 1 2
Direct
0.0000 0.0000 0.0000
0.5000 0.5000 0.5000
0.2500 0.2500 0.2500
0.7500 0.7500 0.7500
```

Excess energy over the best structure of this formula in the dataset (meV per atom): 429
Formation energy from raw total energies (kJ per mole of atoms): 60
Raw total energy (eV/atom): -2.96
Magnetization (μB/f.u.): 0.00

VASP calculation (PBE) on RbPdPtI6 after structural relaxation.

The structure in POSCAR format:
```
RbPdPtI6
1.0
7.2027 0.0000 0.0000
-2.2465 6.9750 0.0000
-0.2130 -2.2849 7.3124
Rb Pd Pt I
1 1 1 6
Direct
0.0000 0.0000 0.0000
0.8115 0.1483 0.4983
0.4819 0.5047 0.5085
0.1781 0.2420 0.6422
0.2135 0.5281 0.2750
0.4620 0.8277 0.7723
0.5262 0.1715 0.2708
0.7534 0.4672 0.7320
0.7772 0.7644 0.3673
```

Formation energy from raw total energies (kJ per mole of atoms): -37
Raw total energy (eV/atom): -2.77
Magnetization (μB/f.u.): 0.00